Computed, not measured: an optimized crystal structure of Cs2Ce2ZrSe6 at the PBE-GGA level of DFT.

Spin magnetization, μB per formula unit: 2.04
Calculated total energy, eV per atom: -5.500
Formation energy without anion corrections, meV/atom: -1588

```
Cs2Ce2ZrSe6
1.0
3.663 -6.283 0.000
3.663 6.283 0.000
-2.487 0.000 8.563
Cs Ce Zr Se
2 2 1 6
Cartesian
3.663 4.148 0.000
3.663 -4.148 0.000
2.419 2.094 4.281
2.419 -2.094 4.281
-1.244 0.000 4.281
-0.092 1.959 5.847
1.030 0.000 2.723
-0.092 -1.959 5.847
4.931 1.959 2.716
3.809 0.000 5.840
4.931 -1.959 2.716
```

***

Computed, not measured: an optimized crystal structure of SrTlS2Cl at the PBE-GGA level of DFT.

Spin magnetization, μB per formula unit: 2.01
Calculated total energy, eV per atom: -3.447
Excess energy over the best structure of this formula in the dataset, meV/atom: 173
Formation energy without anion corrections, meV/atom: -617

```
SrTlS2Cl
1.0
5.740 0.000 0.000
0.000 5.740 0.000
0.000 0.000 5.638
Sr Tl S Cl
1 1 2 1
Cartesian
0.000 0.000 0.000
2.870 2.870 2.819
0.000 2.870 0.000
2.870 0.000 0.000
0.000 0.000 2.819
```

***

Computed, not measured: an optimized crystal structure of ZrScTl2 at the PBE-GGA level of DFT.

Spin magnetization, μB per formula unit: 0.00
Calculated total energy, eV per atom: -4.990
Energy of formation, kcal/mol of atoms: -2.0

```
ZrScTl2
1.0
1.684 0.972 9.869
-1.684 0.972 9.869
0.000 -1.944 9.869
Zr Sc Tl
1 1 2
Cartesian
0.000 0.000 0.000
0.000 0.000 14.803
0.000 0.000 7.363
0.000 0.000 22.243
```

***

Computed, not measured: an optimized crystal structure of MnZnTe at the PBE-GGA level of DFT.

Spin magnetization, μB per formula unit: 3.80
Calculated total energy, eV per atom: -4.522
Excess energy over the best structure of this formula in the dataset, meV/atom: 107
Formation energy without anion corrections, meV/atom: 7

```
MnZnTe
1.0
-2.191 6.055 2.349
2.191 -6.055 2.349
2.191 6.055 -2.349
Mn Zn Te
2 2 2
Cartesian
0.000 1.364 0.000
0.000 10.746 0.000
0.000 0.000 2.308
0.000 6.055 1.528
2.191 -2.032 1.553
2.191 2.032 1.553
```